[1]
Tb2Tm3Pd2: relaxed, PBE.

Cell and atoms, written as CIF:
```
data_Tb2Tm3Pd2
_chemical_formula_sum 'Tb4 Tm6 Pd4'
_symmetry_space_group_name_H-M 'C 1 2/m 1'
_symmetry_Int_Tables_number 12
_symmetry_space_group_name_Hall '-C 2y'
_cell_length_a 12.3237
_cell_length_b 3.6813
_cell_length_c 9.0158
_cell_angle_alpha 90.00
_cell_angle_beta 117.20
_cell_angle_gamma 90.00
loop_
_atom_site_label
_atom_site_type_symbol
_atom_site_fract_x
_atom_site_fract_y
_atom_site_fract_z
_atom_site_occupancy
Tb1 Tb 0.1560 0.0000 0.3128 1
Tm1 Tm 0.0000 0.5000 0.5000 1
Tm2 Tm 0.1136 0.5000 0.9404 1
Pd1 Pd 0.1687 0.0000 0.7375 1
```

Values from the calculation:
Its crystal system is monoclinic. The distance to the lowest polymorph of the same formula is 0.0000 eV/atom. As for the total energy: -5.27 eV per atom.

[2]
Tb2TmPd4: relaxed, PBE.

Cell and atoms, written as CIF:
```
data_Tb2TmPd4
_chemical_formula_sum 'Tb4 Tm2 Pd8'
_symmetry_space_group_name_H-M 'C 1 2/m 1'
_symmetry_Int_Tables_number 12
_symmetry_space_group_name_Hall '-C 2y'
_cell_length_a 8.9331
_cell_length_b 5.6144
_cell_length_c 7.7553
_cell_angle_alpha 90.00
_cell_angle_beta 119.98
_cell_angle_gamma 90.00
loop_
_atom_site_label
_atom_site_type_symbol
_atom_site_fract_x
_atom_site_fract_y
_atom_site_fract_z
_atom_site_occupancy
Tb1 Tb 0.2177 0.0000 0.3259 1
Tm1 Tm 0.0000 0.5000 0.0000 1
Pd1 Pd 0.1585 0.0000 0.6542 1
Pd2 Pd 0.2500 0.2500 0.0000 1
```

Values from the calculation:
Its crystal system is monoclinic. As for the total energy: -5.51 eV per atom.

[3]
Tb2TmPd: relaxed, PBE.

Cell and atoms, written as CIF:
```
data_Tb2TmPd
_chemical_formula_sum 'Tb6 Tm3 Pd3'
_symmetry_space_group_name_H-M 'R 3 m'
_symmetry_Int_Tables_number 160
_symmetry_space_group_name_Hall 'R 3 -2"'
_cell_length_a 3.6829
_cell_length_b 3.6829
_cell_length_c 28.8466
_cell_angle_alpha 90.00
_cell_angle_beta 90.00
_cell_angle_gamma 120.00
loop_
_atom_site_label
_atom_site_type_symbol
_atom_site_fract_x
_atom_site_fract_y
_atom_site_fract_z
_atom_site_occupancy
Tb1 Tb 0.0000 0.0000 0.0000 1
Tb2 Tb 0.0000 0.0000 0.1989 1
Tm1 Tm 0.0000 0.0000 0.4334 1
Pd1 Pd 0.0000 0.0000 0.5995 1
```

Values from the calculation:
Its crystal system is trigonal. The distance to the lowest polymorph of the same formula is 0.1907 eV/atom. As for the total energy: -5.01 eV per atom.

[4]
Tb6TmPd3: relaxed, PBE.

Cell and atoms, written as CIF:
```
data_Tb6TmPd3
_chemical_formula_sum 'Tb24 Tm4 Pd12'
_symmetry_space_group_name_H-M 'C m c 21'
_symmetry_Int_Tables_number 36
_symmetry_space_group_name_Hall 'C 2c -2'
_cell_length_a 11.4741
_cell_length_b 13.2194
_cell_length_c 7.1977
_cell_angle_alpha 90.00
_cell_angle_beta 90.00
_cell_angle_gamma 90.00
loop_
_atom_site_label
_atom_site_type_symbol
_atom_site_fract_x
_atom_site_fract_y
_atom_site_fract_z
_atom_site_occupancy
Tb1 Tb 0.0000 0.0373 0.0000 1
Tb2 Tb 0.0000 0.2309 0.3642 1
Tb3 Tb 0.1690 0.4606 0.5131 1
Tb4 Tb 0.2267 0.1947 0.6687 1
Tm1 Tm 0.0000 0.3217 0.8833 1
Pd1 Pd 0.0000 0.4241 0.2171 1
Pd2 Pd 0.1868 0.0996 0.2998 1
```

Values from the calculation:
Its crystal system is orthorhombic. As for the total energy: -5.28 eV per atom.

[5]
TbTm6Pd2: relaxed, PBE.

Cell and atoms, written as CIF:
```
data_TbTm6Pd2
_chemical_formula_sum 'Tb2 Tm12 Pd4'
_symmetry_space_group_name_H-M 'C 1 2/m 1'
_symmetry_Int_Tables_number 12
_symmetry_space_group_name_Hall '-C 2y'
_cell_length_a 15.8788
_cell_length_b 3.6361
_cell_length_c 10.7000
_cell_angle_alpha 90.00
_cell_angle_beta 129.18
_cell_angle_gamma 90.00
loop_
_atom_site_label
_atom_site_type_symbol
_atom_site_fract_x
_atom_site_fract_y
_atom_site_fract_z
_atom_site_occupancy
Tb1 Tb 0.0000 0.0000 0.0000 1
Tm1 Tm 0.0333 0.0000 0.6894 1
Tm2 Tm 0.1936 0.5000 0.0535 1
Tm3 Tm 0.2124 0.5000 0.6097 1
Pd1 Pd 0.0959 0.5000 0.2697 1
```

Values from the calculation:
Its crystal system is monoclinic. As for the total energy: -5.03 eV per atom.

[6]
TbTmPd2: relaxed, PBE.

Cell and atoms, written as CIF:
```
data_TbTmPd2
_chemical_formula_sum 'Tb1 Tm1 Pd2'
_symmetry_space_group_name_H-M 'P 4/m m m'
_symmetry_Int_Tables_number 123
_symmetry_space_group_name_Hall '-P 4 2'
_cell_length_a 4.9866
_cell_length_b 4.9866
_cell_length_c 3.4232
_cell_angle_alpha 90.00
_cell_angle_beta 90.00
_cell_angle_gamma 90.00
loop_
_atom_site_label
_atom_site_type_symbol
_atom_site_fract_x
_atom_site_fract_y
_atom_site_fract_z
_atom_site_occupancy
Tb1 Tb 0.0000 0.0000 0.0000 1
Tm1 Tm 0.5000 0.5000 0.0000 1
Pd1 Pd 0.0000 0.5000 0.5000 1
```

Values from the calculation:
Its crystal system is tetragonal. The distance to the lowest polymorph of the same formula is 0.0253 eV/atom. As for the total energy: -5.78 eV per atom.

[7]
Tb2TmPd: relaxed, PBE.

Cell and atoms, written as CIF:
```
data_Tb2TmPd
_chemical_formula_sum 'Tb8 Tm4 Pd4'
_symmetry_space_group_name_H-M 'P n m a'
_symmetry_Int_Tables_number 62
_symmetry_space_group_name_Hall '-P 2ac 2n'
_cell_length_a 6.9920
_cell_length_b 9.7024
_cell_length_c 6.4496
_cell_angle_alpha 90.00
_cell_angle_beta 90.00
_cell_angle_gamma 90.00
loop_
_atom_site_label
_atom_site_type_symbol
_atom_site_fract_x
_atom_site_fract_y
_atom_site_fract_z
_atom_site_occupancy
Tb1 Tb 0.1840 0.0588 0.1771 1
Tm1 Tm 0.0257 0.2500 0.6328 1
Pd1 Pd 0.1083 0.7500 0.9494 1
```

Values from the calculation:
Its crystal system is orthorhombic. The distance to the lowest polymorph of the same formula is 0.0000 eV/atom. As for the total energy: -5.20 eV per atom.

[8]
TbTmPd14: relaxed, PBE.

Cell and atoms, written as CIF:
```
data_TbTmPd14
_chemical_formula_sum 'Tb1 Tm1 Pd14'
_symmetry_space_group_name_H-M 'P 4/m m m'
_symmetry_Int_Tables_number 123
_symmetry_space_group_name_Hall '-P 4 2'
_cell_length_a 5.7377
_cell_length_b 5.7377
_cell_length_c 7.9904
_cell_angle_alpha 90.00
_cell_angle_beta 90.00
_cell_angle_gamma 90.00
loop_
_atom_site_label
_atom_site_type_symbol
_atom_site_fract_x
_atom_site_fract_y
_atom_site_fract_z
_atom_site_occupancy
Tb1 Tb 0.0000 0.0000 0.0000 1
Tm1 Tm 0.5000 0.5000 0.0000 1
Pd1 Pd 0.0000 0.0000 0.5000 1
Pd2 Pd 0.0000 0.5000 0.0000 1
Pd3 Pd 0.0000 0.5000 0.5000 1
Pd4 Pd 0.2511 0.2511 0.2576 1
Pd5 Pd 0.5000 0.5000 0.5000 1
```

Values from the calculation:
Its crystal system is tetragonal. As for the total energy: -5.53 eV per atom.

[9]
Tb2TmPd8: relaxed, PBE.

Cell and atoms, written as CIF:
```
data_Tb2TmPd8
_chemical_formula_sum 'Tb4 Tm2 Pd16'
_symmetry_space_group_name_H-M 'C 1 2/m 1'
_symmetry_Int_Tables_number 12
_symmetry_space_group_name_Hall '-C 2y'
_cell_length_a 14.8041
_cell_length_b 4.2084
_cell_length_c 6.7631
_cell_angle_alpha 90.00
_cell_angle_beta 108.55
_cell_angle_gamma 90.00
loop_
_atom_site_label
_atom_site_type_symbol
_atom_site_fract_x
_atom_site_fract_y
_atom_site_fract_z
_atom_site_occupancy
Tb1 Tb 0.2173 0.0000 0.1662 1
Tm1 Tm 0.0000 0.5000 0.5000 1
Pd1 Pd 0.0365 0.0000 0.2193 1
Pd2 Pd 0.0905 0.5000 0.9478 1
Pd3 Pd 0.1401 0.0000 0.6763 1
Pd4 Pd 0.1757 0.5000 0.4057 1
```

Values from the calculation:
Its crystal system is monoclinic. As for the total energy: -5.79 eV per atom.

[10]
TbTmPd2: relaxed, PBE.

Cell and atoms, written as CIF:
```
data_TbTmPd2
_chemical_formula_sum 'Tb4 Tm4 Pd8'
_symmetry_space_group_name_H-M 'C 1 2/m 1'
_symmetry_Int_Tables_number 12
_symmetry_space_group_name_Hall '-C 2y'
_cell_length_a 12.1696
_cell_length_b 5.5860
_cell_length_c 5.6603
_cell_angle_alpha 90.00
_cell_angle_beta 107.27
_cell_angle_gamma 90.00
loop_
_atom_site_label
_atom_site_type_symbol
_atom_site_fract_x
_atom_site_fract_y
_atom_site_fract_z
_atom_site_occupancy
Tb1 Tb 0.1452 0.0000 0.4416 1
Tm1 Tm 0.1462 0.5000 0.9375 1
Pd1 Pd 0.0958 0.5000 0.4035 1
Pd2 Pd 0.0993 0.0000 0.9118 1
```

Values from the calculation:
Its crystal system is monoclinic. The distance to the lowest polymorph of the same formula is 0.1279 eV/atom. As for the total energy: -5.67 eV per atom.

Taking the records one at a time from the top gives formation enthalpy at 0 K values of -0.5459 -0.5852 -0.2816 -0.4921 -0.3845 -0.9033 -0.4723 -0.4222 -0.7667 -0.8007 eV/atom.